Here is a relaxed DyAg3Ge3 crystal from the Alexandria database. Energies are from PBE.

Output
E_form   0.40 eV/atom
Calculated total energy   -24.2 eV/f.u.
Magnetization   0.0 μB per formula unit
Calculated volume   352.7 Å³ per cell
DOS at the Fermi energy   7.00 states/eV/cell

a b c (Å): 7.0657 7.0657 7.0657
angles (deg): 90.00 90.00 90.00
Atoms (fractional coordinates):
Dy 0.0000 0.0000 0.0000
Dy 0.5000 0.5000 0.5000
Ag 0.0000 0.2500 0.5000
Ag 0.0000 0.7500 0.5000
Ag 0.2500 0.5000 0.0000
Ag 0.5000 0.0000 0.2500
Ag 0.5000 0.0000 0.7500
Ag 0.7500 0.5000 0.0000
Ge 0.0000 0.5000 0.2500
Ge 0.0000 0.5000 0.7500
Ge 0.2500 0.0000 0.5000
Ge 0.5000 0.2500 0.0000
Ge 0.5000 0.7500 0.0000
Ge 0.7500 0.0000 0.5000


Here is a relaxed Dy2AgGe2 crystal from the Alexandria database. Energies are from PBE.

Output
E_form   -0.71 eV/atom
Calculated total energy   -24.8 eV/f.u.
Magnetization   0.0 μB per formula unit
Calculated volume   436.2 Å³ per cell
DOS at the Fermi energy   8.54 states/eV/cell

a b c (Å): 7.1391 7.1391 8.5581
angles (deg): 90.00 90.00 90.00
Atoms (fractional coordinates):
Dy 0.1756 0.3245 0.0000
Dy 0.1755 0.3244 0.5000
Dy 0.3245 0.8244 0.0000
Dy 0.3244 0.8245 0.5000
Dy 0.6755 0.1756 0.0000
Dy 0.6756 0.1755 0.5000
Dy 0.8244 0.6755 0.0000
Dy 0.8245 0.6756 0.5000
Ag 0.0000 0.0000 0.2495
Ag 0.0000 0.0000 0.7505
Ag 0.5000 0.5000 0.2505
Ag 0.5000 0.5000 0.7495
Ge 0.1264 0.6264 0.2500
Ge 0.1264 0.6264 0.7500
Ge 0.3736 0.1264 0.2500
Ge 0.3736 0.1264 0.7500
Ge 0.6264 0.8736 0.2500
Ge 0.6264 0.8736 0.7500
Ge 0.8736 0.3736 0.2500
Ge 0.8736 0.3736 0.7500


Here is a relaxed DyAg2Ge crystal from the Alexandria database. Energies are from PBE.

Output
E_form   -0.28 eV/atom
Calculated total energy   -16.0 eV/f.u.
Magnetization   0.0 μB per formula unit
Distance to the lowest polymorph of the same formula   0.0 kJ per mole of atoms
Calculated volume   82.9 Å³ per cell
DOS at the Fermi energy   2.99 states/eV/cell

a b c (Å): 4.1818 4.1818 4.7391
angles (deg): 90.00 90.00 90.00
Atoms (fractional coordinates):
Dy 0.0000 0.0000 0.0000
Ag 0.0000 0.5000 0.5000
Ag 0.5000 0.0000 0.5000
Ge 0.5000 0.5000 0.0000


Here is a relaxed DyAgGe crystal from the Alexandria database. Energies are from PBE.

Output
E_form   -0.50 eV/atom
Calculated total energy   -13.6 eV/f.u.
Magnetization   0.0 μB per formula unit
Calculated volume   70.4 Å³ per cell

a b c (Å): 4.6355 4.6355 4.6355
angles (deg): 60.00 60.00 60.00
Atoms (fractional coordinates):
Dy 0.0000 0.0000 0.0000
Ag 0.5000 0.5000 0.5000
Ge 0.2500 0.2500 0.2500